Density functional theory data (GGA+U) for an optimized crystal structure of Mn3OF5.

As for the density of states at the Fermi level: 0.265 states/eV per atom. The calculated total energy comes out at -6.489 eV/atom. As for the polymorph energy (0 for the lowest one): 34 meV per atom. The spin magnetization is 1.56 μB/atom.

The space group is Pmn2_1 (No. 31) and the conventional cell measures 9.877, 4.835 and 4.849 Å, with angles of 90.00, 90.00 and 90.00 degrees. The distinct sites, in fractional coordinates, are Mn at (0.000, 0.222, 0.000), Mn at (0.158, 0.755, 0.464), O at (0.000, 0.940, 0.276), F at (0.000, 0.525, 0.692), F at (0.165, 0.045, 0.788) and F at (0.171, 0.432, 0.171).

Density functional theory data (GGA+U) for an optimized crystal structure of Mn2O3F.

As for the density of states at the Fermi level: 0.308 states/eV per atom. The calculated total energy comes out at -6.880 eV/atom. As for the polymorph energy (0 for the lowest one): 23 meV per atom. The spin magnetization is 1.17 μB/atom.

The space group is Cmmm (No. 65) and the conventional cell measures 6.045, 13.522 and 6.343 Å, with angles of 90.00, 90.00 and 90.00 degrees. The distinct sites, in fractional coordinates, are Mn at (0.000, 0.000, 0.000), Mn at (0.000, 0.243, 0.500), Mn at (0.000, 0.500, 0.000), Mn at (0.238, 0.000, 0.500), Mn at (0.250, 0.250, 0.000), O at (0.000, 0.092, 0.500), O at (0.000, 0.344, 0.000), O at (0.249, 0.000, 0.194), O at (0.250, 0.250, 0.306), F at (0.000, 0.141, 0.000) and F at (0.000, 0.407, 0.500).

Density functional theory data (GGA+U) for an optimized crystal structure of Mn3O4F2.

As for the density of states at the Fermi level: 0.234 states/eV per atom. The calculated total energy comes out at -6.827 eV/atom. As for the polymorph energy (0 for the lowest one): 26 meV per atom. The spin magnetization is 1.22 μB/atom.

The space group is P2_1/c (No. 14) and the conventional cell measures 7.701, 4.610 and 5.544 Å, with angles of 90.00, 93.49 and 90.00 degrees. The distinct sites, in fractional coordinates, are Mn at (0.000, 0.000, 0.000), Mn at (0.340, 0.031, 0.332), O at (0.109, 0.191, 0.296), O at (0.441, 0.193, 0.628) and F at (0.246, 0.708, 0.541).